{
  "formula": "Nb2PRuI",
  "functional": "PBE-GGA",
  "state": "optimized geometry",
  "space_group": "No. 1",
  "final_energy_ev_per_atom": -7.4324,
  "raw_formation_energy_ev_per_atom": -0.157,
  "relative_energy_mev_per_atom": 0,
  "dos_at_fermi_per_ev_cell": 3.18,
  "lattice_angstrom": [[4.054, 0.000, 0.000], [2.026, 3.519, 0.000], [0.008, 2.338, 7.301]],
  "species": ["Nb", "Nb", "P", "Ru", "I"],
  "fractional_positions": [[0.357, 0.724, 0.981], [0.234, 0.971, 0.605], [0.620, 0.198, 0.766], [0.975, 0.486, 0.834], [0.810, 0.825, 0.316]]
}


{
  "formula": "Nb2PRuI",
  "functional": "PBE-GGA",
  "state": "optimized geometry",
  "space_group": "No. 8",
  "final_energy_ev_per_atom": -7.4256,
  "raw_formation_energy_ev_per_atom": -0.151,
  "relative_energy_mev_per_atom": 7,
  "dos_at_fermi_per_ev_cell": 4.45,
  "lattice_angstrom": [[-0.339, -5.771, -5.809], [-1.188, -2.661, 2.713], [-6.215, 3.694, 0.902]],
  "species": ["Nb", "Nb", "Nb", "Nb", "P", "P", "Ru", "Ru", "I", "I"],
  "fractional_positions": [[0.004, 0.000, 0.781], [0.004, 0.500, 0.281], [0.368, 0.000, 0.007], [0.368, 0.500, 0.507], [0.232, 0.000, 0.261], [0.232, 0.500, 0.761], [0.166, 0.000, 0.552], [0.166, 0.500, 0.052], [0.727, 0.000, 0.002], [0.727, 0.500, 0.502]]
}


{
  "formula": "Nb2PRuI",
  "functional": "PBE-GGA",
  "state": "optimized geometry",
  "space_group": "No. 25",
  "final_energy_ev_per_atom": -7.4020,
  "raw_formation_energy_ev_per_atom": -0.127,
  "relative_energy_mev_per_atom": 30,
  "dos_at_fermi_per_ev_cell": 3.26,
  "lattice_angstrom": [[3.631, 0.000, 0.000], [0.000, 3.602, 0.000], [0.000, 0.000, 7.901]],
  "species": ["Nb", "Nb", "P", "Ru", "I"],
  "fractional_positions": [[0.500, 0.000, 0.038], [0.000, 0.000, 0.379], [0.500, 0.500, 0.307], [0.000, 0.500, 0.096], [0.500, 0.000, 0.678]]
}


{
  "formula": "Nb2PRuI",
  "functional": "PBE-GGA",
  "state": "optimized geometry",
  "space_group": "No. 8",
  "final_energy_ev_per_atom": -7.2988,
  "raw_formation_energy_ev_per_atom": -0.024,
  "relative_energy_mev_per_atom": 134,
  "dos_at_fermi_per_ev_cell": 3.73,
  "lattice_angstrom": [[-1.407, 7.865, 5.214], [-2.115, -1.781, 2.116], [4.781, -2.461, 2.706]],
  "species": ["Nb", "Nb", "Nb", "Nb", "P", "P", "Ru", "Ru", "I", "I"],
  "fractional_positions": [[0.956, 0.000, 0.860], [0.956, 0.500, 0.360], [0.444, 0.000, 0.355], [0.444, 0.500, 0.855], [0.288, 0.000, 0.637], [0.288, 0.500, 0.137], [0.120, 0.000, 0.247], [0.120, 0.500, 0.747], [0.689, 0.000, 0.101], [0.689, 0.500, 0.601]]
}


{
  "formula": "Nb2PRuI",
  "functional": "PBE-GGA",
  "state": "optimized geometry",
  "space_group": "No. 156",
  "final_energy_ev_per_atom": -7.4228,
  "raw_formation_energy_ev_per_atom": -0.148,
  "relative_energy_mev_per_atom": 10,
  "dos_at_fermi_per_ev_cell": 1.88,
  "lattice_angstrom": [[-1.872, -2.793, -2.260], [3.494, -0.897, 1.844], [-3.675, -2.277, 5.858]],
  "species": ["Nb", "Nb", "P", "Ru", "I"],
  "fractional_positions": [[0.333, 0.667, 0.009], [0.333, 0.667, 0.389], [0.000, 0.000, 0.223], [0.667, 0.333, 0.172], [0.000, 0.000, 0.704]]
}


{
  "formula": "Nb2PRuI",
  "functional": "PBE-GGA",
  "state": "optimized geometry",
  "space_group": "No. 8",
  "final_energy_ev_per_atom": -7.3407,
  "raw_formation_energy_ev_per_atom": -0.066,
  "relative_energy_mev_per_atom": 92,
  "dos_at_fermi_per_ev_cell": 3.95,
  "lattice_angstrom": [[9.779, 0.000, 0.033], [0.000, 3.496, 0.000], [-1.260, 0.000, 5.921]],
  "species": ["Nb", "Nb", "Nb", "Nb", "P", "P", "Ru", "Ru", "I", "I"],
  "fractional_positions": [[0.971, 0.000, 0.361], [0.971, 0.500, 0.861], [0.445, 0.000, 0.851], [0.445, 0.500, 0.351], [0.290, 0.000, 0.134], [0.290, 0.500, 0.634], [0.129, 0.000, 0.746], [0.129, 0.500, 0.246], [0.662, 0.000, 0.257], [0.662, 0.500, 0.757]]
}


{
  "formula": "Nb2PRuI",
  "functional": "PBE-GGA",
  "state": "optimized geometry",
  "space_group": "No. 6",
  "final_energy_ev_per_atom": -7.2525,
  "raw_formation_energy_ev_per_atom": 0.023,
  "relative_energy_mev_per_atom": 180,
  "dos_at_fermi_per_ev_cell": 3.98,
  "lattice_angstrom": [[4.996, 0.000, 0.005], [0.000, 3.373, 0.000], [-1.209, 0.000, 5.645]],
  "species": ["Nb", "Nb", "P", "Ru", "I"],
  "fractional_positions": [[0.310, 0.000, 0.109], [0.635, 0.500, 0.463], [0.872, 0.000, 0.246], [0.775, 0.500, 0.966], [0.207, 0.500, 0.713]]
}


{
  "formula": "NbPS2I",
  "functional": "PBE-GGA",
  "state": "optimized geometry",
  "space_group": "No. 123",
  "final_energy_ev_per_atom": -5.0097,
  "raw_formation_energy_ev_per_atom": 0.047,
  "relative_energy_mev_per_atom": 0,
  "dos_at_fermi_per_ev_cell": 4.96,
  "lattice_angstrom": [[-0.707, 2.161, 4.123], [0.536, -4.105, 2.243], [5.235, 0.912, 0.419]],
  "species": ["I", "P", "Nb", "S", "S"],
  "fractional_positions": [[0.500, 0.500, 0.500], [0.000, 0.000, 0.500], [0.000, 0.000, 0.000], [0.000, 0.500, 0.000], [0.500, 0.000, 0.000]]
}